This record from Alexandria via LeMat-Bulk describes crystalline AlH2Rh2 at its relaxed geometry. The functional is PBE. Values from VASP.

Output
Energy above the most stable polymorph in this dataset: 34 meV/atom
Total DFT energy (no corrections): -27.17 eV per cell
Theoretical density: 8.041 Mg/m³
Total magnetic moment: 0.00 μB/f.u.

The structure in Quantum ESPRESSO input format:
```
&SYSTEM
  ibrav = 0, nat = 5, ntyp = 3
/
ATOMIC_SPECIES
Al 26.98 Al.upf
H 1.01 H.upf
Rh 102.91 Rh.upf
ATOMIC_POSITIONS angstrom
Al 0.000 0.000 0.000
H 1.458 0.000 2.851
H 0.000 1.458 2.851
Rh 1.458 1.458 4.190
Rh 1.458 1.458 1.512
CELL_PARAMETERS angstrom
2.916 0.000 0.000
0.000 2.916 0.000
0.000 0.000 5.702
```

=====

This record from Alexandria via LeMat-Bulk describes crystalline Pr4Cd2O at its relaxed geometry. The functional is PBE. Values from VASP.

Output
Energy above the most stable polymorph in this dataset: 0 meV/atom
Total DFT energy (no corrections): -32.10 eV per cell
Raw formation energy: -885 meV/atom
Theoretical density: 6.737 Mg/m³
Total magnetic moment: 0.00 μB/f.u.

The structure in Quantum ESPRESSO input format:
```
&SYSTEM
  ibrav = 0, nat = 7, ntyp = 3
/
ATOMIC_SPECIES
Pr 140.91 Pr.upf
O 16.00 O.upf
Cd 112.41 Cd.upf
ATOMIC_POSITIONS angstrom
Pr -5.630 -5.090 0.034
Pr -6.104 -0.930 1.148
Pr -0.451 -1.964 1.494
Pr -1.209 -1.148 -1.874
O 0.000 0.000 0.000
Cd -8.306 -3.775 0.954
Cd -3.427 -2.244 0.227
CELL_PARAMETERS angstrom
-2.417 -2.297 -3.749
-0.902 -3.928 2.988
-8.415 0.205 1.943
```

=====

This record from Alexandria via LeMat-Bulk describes crystalline BeNbRh3 at its relaxed geometry. The functional is PBE. Values from VASP.

Output
Calculated formation energy: -0.208 eV/atom
Energy above the most stable polymorph in this dataset: 0 meV/atom
Total DFT energy (no corrections): -36.89 eV per cell
Theoretical density: 9.701 Mg/m³
Total magnetic moment: 0.00 μB/f.u.

The structure in Quantum ESPRESSO input format:
```
&SYSTEM
  ibrav = 0, nat = 5, ntyp = 3
/
ATOMIC_SPECIES
Be 9.01 Be.upf
Nb 92.91 Nb.upf
Rh 102.91 Rh.upf
ATOMIC_POSITIONS angstrom
Be 0.000 0.000 0.000
Nb -0.541 2.052 2.876
Rh -0.302 -0.695 1.919
Rh 1.319 1.415 0.719
Rh -1.558 1.332 0.237
CELL_PARAMETERS angstrom
-3.117 2.663 0.474
-0.603 -1.389 3.839
2.637 2.830 1.438
```

=====

Repeat the third record exactly.
This record from Alexandria via LeMat-Bulk describes crystalline BeNbRh3 at its relaxed geometry. The functional is PBE. Values from VASP.

Output
Calculated formation energy: -0.208 eV/atom
Energy above the most stable polymorph in this dataset: 0 meV/atom
Total DFT energy (no corrections): -36.89 eV per cell
Theoretical density: 9.701 Mg/m³
Total magnetic moment: 0.00 μB/f.u.

The structure in Quantum ESPRESSO input format:
```
&SYSTEM
  ibrav = 0, nat = 5, ntyp = 3
/
ATOMIC_SPECIES
Be 9.01 Be.upf
Nb 92.91 Nb.upf
Rh 102.91 Rh.upf
ATOMIC_POSITIONS angstrom
Be 0.000 0.000 0.000
Nb -0.541 2.052 2.876
Rh -0.302 -0.695 1.919
Rh 1.319 1.415 0.719
Rh -1.558 1.332 0.237
CELL_PARAMETERS angstrom
-3.117 2.663 0.474
-0.603 -1.389 3.839
2.637 2.830 1.438
```

=====

Q: Which value of theoretical density does entry 2 give?
A: 6.737 Mg/m³

=====

Q: What is the energy above the most stable polymorph in this dataset in the first record?
A: 34 meV/atom